# 1
Below is a geometry-optimized PmY2Ir9 structure, with properties calculated at the PBE-GGA level.

**DFT formation energy**: -0.575 eV per atom

```
data_PmY2Ir9
_chemical_formula_sum 'Pm3 Y6 Ir27'
_space_group_name_H-M_alt 'R -3 m'
_space_group_IT_number 166
_space_group_name_Hall '-R 3 2"'
_cell_length_a 5.3360
_cell_length_b 5.3360
_cell_length_c 26.3152
_cell_angle_alpha 90.00
_cell_angle_beta 90.00
_cell_angle_gamma 120.00
loop_
_atom_site_label
_atom_site_type_symbol
_atom_site_fract_x
_atom_site_fract_y
_atom_site_fract_z
Pm1 Pm 0.0000 0.0000 0.0000
Y1 Y 0.0000 0.0000 0.1395
Ir1 Ir 0.0000 0.0000 0.3328
Ir2 Ir 0.0000 0.0000 0.5000
Ir3 Ir 0.0009 0.5005 0.0822
```

***

# 2
Below is a geometry-optimized PmY2Ir structure, with properties calculated at the PBE-GGA level.

**Energy above the most stable polymorph in this dataset**: 0.00 eV per formula unit
**DFT formation energy**: -0.535 eV per atom

```
data_PmY2Ir
_chemical_formula_sum 'Pm4 Y8 Ir4'
_space_group_name_H-M_alt 'P n m a'
_space_group_IT_number 62
_space_group_name_Hall '-P 2ac 2n'
_cell_length_a 7.3005
_cell_length_b 9.4102
_cell_length_c 6.4837
_cell_angle_alpha 90.00
_cell_angle_beta 90.00
_cell_angle_gamma 90.00
loop_
_atom_site_label
_atom_site_type_symbol
_atom_site_fract_x
_atom_site_fract_y
_atom_site_fract_z
Pm1 Pm 0.0354 0.2500 0.1358
Y1 Y 0.1745 0.0645 0.6715
Ir1 Ir 0.1185 0.7500 0.4445
```

***

# 3
Below is a geometry-optimized PmY2Ir2 structure, with properties calculated at the PBE-GGA level.

**Energy above the most stable polymorph in this dataset**: 0.17 eV per formula unit
**DFT formation energy**: -0.669 eV per atom

```
data_PmY2Ir2
_chemical_formula_sum 'Pm2 Y4 Ir4'
_space_group_name_H-M_alt 'P 1 21/m 1'
_space_group_IT_number 11
_space_group_name_Hall '-P 2yb'
_cell_length_a 5.5366
_cell_length_b 4.4227
_cell_length_c 10.5866
_cell_angle_alpha 90.00
_cell_angle_beta 97.24
_cell_angle_gamma 90.00
loop_
_atom_site_label
_atom_site_type_symbol
_atom_site_fract_x
_atom_site_fract_y
_atom_site_fract_z
Pm1 Pm 0.0947 0.2500 0.2883
Y1 Y 0.2514 0.2500 0.9703
Y2 Y 0.3953 0.2500 0.6167
Ir1 Ir 0.1535 0.7500 0.4766
Ir2 Ir 0.2691 0.7500 0.1388
```

***

# 4
Below is a geometry-optimized PmY4Ir5 structure, with properties calculated at the PBE-GGA level.

**DFT formation energy**: -0.730 eV per atom

```
data_PmY4Ir5
_chemical_formula_sum 'Pm1 Y4 Ir5'
_space_group_name_H-M_alt 'P 4/m m m'
_space_group_IT_number 123
_space_group_name_Hall '-P 4 2'
_cell_length_a 3.3799
_cell_length_b 3.3799
_cell_length_c 17.9854
_cell_angle_alpha 90.00
_cell_angle_beta 90.00
_cell_angle_gamma 90.00
loop_
_atom_site_label
_atom_site_type_symbol
_atom_site_fract_x
_atom_site_fract_y
_atom_site_fract_z
Pm1 Pm 0.0000 0.0000 0.0000
Y1 Y 0.0000 0.0000 0.2031
Y2 Y 0.0000 0.0000 0.4011
Ir1 Ir 0.5000 0.5000 0.1049
Ir2 Ir 0.5000 0.5000 0.3022
Ir3 Ir 0.5000 0.5000 0.5000
```

***

# 5
Below is a geometry-optimized Pm4Y3Ir4 structure, with properties calculated at the PBE-GGA level.

**DFT formation energy**: -0.541 eV per atom

```
data_Pm4Y3Ir4
_chemical_formula_sum 'Pm8 Y6 Ir8'
_space_group_name_H-M_alt 'I m m m'
_space_group_IT_number 71
_space_group_name_Hall '-I 2 2'
_cell_length_a 3.8429
_cell_length_b 8.7559
_cell_length_c 16.4286
_cell_angle_alpha 90.00
_cell_angle_beta 90.00
_cell_angle_gamma 90.00
loop_
_atom_site_label
_atom_site_type_symbol
_atom_site_fract_x
_atom_site_fract_y
_atom_site_fract_z
Pm1 Pm 0.0000 0.1890 0.1654
Y1 Y 0.0000 0.0000 0.4022
Y2 Y 0.0000 0.5000 0.5000
Ir1 Ir 0.0000 0.2853 0.0000
Ir2 Ir 0.0000 0.5000 0.2432
```

***

# 6
Below is a geometry-optimized PmY2Ir structure, with properties calculated at the PBE-GGA level.

**Energy above the most stable polymorph in this dataset**: 0.55 eV per formula unit
**DFT formation energy**: -0.398 eV per atom

```
data_PmY2Ir
_chemical_formula_sum 'Pm1 Y2 Ir1'
_space_group_name_H-M_alt 'P 4/m m m'
_space_group_IT_number 123
_space_group_name_Hall '-P 4 2'
_cell_length_a 3.4934
_cell_length_b 3.4934
_cell_length_c 8.9285
_cell_angle_alpha 90.00
_cell_angle_beta 90.00
_cell_angle_gamma 90.00
loop_
_atom_site_label
_atom_site_type_symbol
_atom_site_fract_x
_atom_site_fract_y
_atom_site_fract_z
Pm1 Pm 0.0000 0.0000 0.0000
Y1 Y 0.5000 0.5000 0.3159
Ir1 Ir 0.0000 0.0000 0.5000
```